Computed, not measured: a crystal of HoFe2 relaxed with PBEsol at the SCAN level of DFT.

## Properties
As for the volume: 176 Å³/cell. As for the formation energy: -0.0318 eV per atom.

abc: 5.0077 5.0077 8.1231
angles: 90.00 90.00 120.00
Space group P6_3/mmc (No. 194)
One atom of each set of equivalent atoms:
Ho  0.3333  0.6667  0.0620
Fe  0.0000  0.0000  0.0000
Fe  0.1651  0.3303  0.7500

Computed, not measured: a crystal of Ho3Fe29 relaxed with PBEsol at the SCAN level of DFT.

## Properties
As for the volume: 772 Å³/cell. As for the formation energy: 0.0292 eV per atom.

abc: 9.3356 8.1856 10.1642
angles: 90.00 96.55 90.00
Space group C2/m (No. 12)
One atom of each set of equivalent atoms:
Ho  0.0000  0.0000  0.0000
Ho  0.1876  0.0000  0.5976
Fe  0.0000  0.3594  0.0000
Fe  0.0000  0.5000  0.5000
Fe  0.0176  0.5000  0.2533
Fe  0.0595  0.2508  0.4044
Fe  0.0920  0.0000  0.2937
Fe  0.0937  0.2185  0.8018
Fe  0.1534  0.2521  0.1991
Fe  0.1895  0.3527  0.6201
Fe  0.2091  0.5000  0.8586
Fe  0.2215  0.5000  0.1089
Fe  0.2500  0.2500  0.0000

Computed, not measured: a crystal of Ho7FeI12 relaxed with PBEsol at the SCAN level of DFT.

## Properties
As for the volume: 2096 Å³/cell. The calculation puts the formation energy from raw total energies at -1273 meV per atom.

abc: 15.1389 15.1389 10.5587
angles: 90.00 90.00 120.00
Space group R-3 (No. 148, hexagonal axes)
One atom of each set of equivalent atoms:
Ho  0.0000  0.0000  0.0000
Ho  0.0424  0.8864  0.3640
Fe  0.0000  0.0000  0.5000
I  0.0162  0.4297  0.1591
I  0.0497  0.8694  0.8377

Computed, not measured: a crystal of Ho12In3Fe2 relaxed with PBEsol at the SCAN level of DFT.

## Properties
As for the volume: 863 Å³/cell. As for the formation energy: -0.2709 eV per atom.

abc: 9.4092 9.4092 9.7514
angles: 90.00 90.00 90.00
Space group I4/mmm (No. 139)
One atom of each set of equivalent atoms:
Ho  0.0000  0.2469  0.2121
Ho  0.1982  0.1982  0.5000
In  0.0000  0.0000  0.0000
In  0.0000  0.5000  0.0000
Fe  0.0000  0.0000  0.3912

Computed, not measured: a crystal of HoMnFe relaxed with PBEsol at the SCAN level of DFT.

## Properties
As for the volume: 176 Å³/cell. As for the formation energy: 0.0508 eV per atom.

abc: 4.7975 5.0817 7.2356
angles: 90.00 90.00 90.00
Space group Imma (No. 74)
One atom of each set of equivalent atoms:
Ho  0.0000  0.2500  0.1231
Mn  0.2500  0.2500  0.7500
Fe  0.0000  0.0000  0.5000

Computed, not measured: a crystal of Ho2Fe12P7 relaxed with PBEsol at the SCAN level of DFT.

## Properties
As for the volume: 241 Å³/cell. As for the formation energy: -0.6415 eV per atom.

abc: 8.8077 8.8077 3.5854
angles: 90.00 90.00 120.00
Space group P-6 (No. 174)
One atom of each set of equivalent atoms:
Ho  0.0000  0.0000  0.0000
Ho  0.3333  0.6667  0.5000
Fe  0.0361  0.2772  0.5000
Fe  0.0992  0.7169  0.0000
Fe  0.4549  0.2172  0.0000
Fe  0.5123  0.4529  0.5000
P  0.0672  0.4443  0.0000
P  0.2558  0.2205  0.5000
P  0.6667  0.3333  0.5000

Question: Number 2 is which compound?
Answer: Ho3Fe29

Question: Which formula does entry 4 have?
Answer: Ho12In3Fe2

Please write out number 4 again, unchanged.
Computed, not measured: a crystal of Ho12In3Fe2 relaxed with PBEsol at the SCAN level of DFT.

## Properties
As for the volume: 863 Å³/cell. As for the formation energy: -0.2709 eV per atom.

abc: 9.4092 9.4092 9.7514
angles: 90.00 90.00 90.00
Space group I4/mmm (No. 139)
One atom of each set of equivalent atoms:
Ho  0.0000  0.2469  0.2121
Ho  0.1982  0.1982  0.5000
In  0.0000  0.0000  0.0000
In  0.0000  0.5000  0.0000
Fe  0.0000  0.0000  0.3912